Entry 1:
# ErMg2In3 | the Alexandria database | PBE | optimized geometry
# ΔE_f: -0.2681 eV per atom
# V: 23.69 A^3/atom
data_ErMg2In3
_chemical_formula_sum 'Er1 Mg2 In3'
_symmetry_space_group_name_H-M 'P 1'
_symmetry_Int_Tables_number 1
_cell_length_a 4.460
_cell_length_b 4.560
_cell_length_c 7.352
_cell_angle_alpha 108.06
_cell_angle_beta 90.00
_cell_angle_gamma 90.00
loop_
_symmetry_equiv_pos_as_xyz
'x,y,z'
loop_
_atom_site_label
_atom_site_fract_x
_atom_site_fract_y
_atom_site_fract_z
_atom_site_occupancy
In1 0.500 0.830 0.660 1
In2 0.500 0.170 0.340 1
In3 0.500 0.500 0.000 1
Mg1 0.000 0.671 0.343 1
Mg2 0.000 0.329 0.657 1
Er1 0.000 0.000 0.000 1



Entry 2:
# Y2MnVAs | the Alexandria database | PBE | optimized geometry
# ΔE_f: 0.1374 eV per atom
# V: 23.05 A^3/atom
data_Y2MnVAs
_chemical_formula_sum 'Y2 Mn1 V1 As1'
_symmetry_space_group_name_H-M 'P 1'
_symmetry_Int_Tables_number 1
_cell_length_a 5.252
_cell_length_b 4.178
_cell_length_c 5.252
_cell_angle_alpha 90.00
_cell_angle_beta 90.00
_cell_angle_gamma 90.00
loop_
_symmetry_equiv_pos_as_xyz
'x,y,z'
loop_
_atom_site_label
_atom_site_fract_x
_atom_site_fract_y
_atom_site_fract_z
_atom_site_occupancy
Mn1 0.000 0.000 0.000 1
Y1 0.000 0.000 0.500 1
Y2 0.500 0.000 0.000 1
V1 0.000 0.500 0.000 1
As1 0.500 0.500 0.500 1